Material: Ca3CdIn
Method: DFT, GGA-PBEsol
State: optimized geometry

Lattice parameters (Å, degrees): 5.885 5.885 5.885 90.00 90.00 90.00
Atoms (fractional coordinates):
Ca: 0.000 0.000 0.500
Ca: 0.000 0.500 0.000
Ca: 0.500 0.000 0.000
Cd: 0.500 0.500 0.500
In: 0.000 0.000 0.000

Output
space-group type: Pm-3m, No. 221

---

Material: CaCdIn
Method: DFT, GGA-PBEsol
State: optimized geometry

Lattice parameters (Å, degrees): 4.917 4.917 3.576 90.00 90.00 120.00
Atoms (fractional coordinates):
Ca: 0.000 0.000 0.000
Cd: 0.333 0.667 0.500
In: 0.667 0.333 0.500

Output
space-group type: P-6m2, No. 187

---

Material: CaCd2In
Method: DFT, GGA-PBEsol
State: optimized geometry

Lattice parameters (Å, degrees): 5.065 5.065 5.065 119.76 119.76 90.41
Atoms (fractional coordinates):
Ca: 0.000 0.000 0.000
Cd: 0.500 0.500 0.000
Cd: 0.750 0.250 0.500
In: 0.250 0.750 0.500

Output
space-group type: I-4m2, No. 119

---

Material: CaCd2In
Method: DFT, GGA-PBEsol
State: optimized geometry

Lattice parameters (Å, degrees): 4.582 4.582 4.523 90.00 90.00 90.00
Atoms (fractional coordinates):
Ca: 0.000 0.000 0.000
Cd: 0.000 0.500 0.500
Cd: 0.500 0.000 0.500
In: 0.500 0.500 0.000

Output
space-group type: P4/mmm, No. 123

---

Material: Ca2CdIn
Method: DFT, GGA-PBEsol
State: optimized geometry

Lattice parameters (Å, degrees): 3.708 5.369 5.394 90.00 90.00 90.00
Atoms (fractional coordinates):
Ca: 0.000 0.000 0.000
Ca: 0.000 0.500 0.476
Cd: 0.500 0.500 0.965
In: 0.500 0.000 0.507

Output
offset from the most stable computed form: 0.002 eV per atom
space-group type: Pmm2, No. 25

---

Material: Ca2CdIn
Method: DFT, GGA-PBEsol
State: optimized geometry

Lattice parameters (Å, degrees): 3.662 3.662 8.005 90.00 90.00 90.00
Atoms (fractional coordinates):
Ca: 0.000 0.000 0.245
Ca: 0.000 0.000 0.755
Cd: 0.500 0.500 0.000
In: 0.500 0.500 0.500

Output
offset from the most stable computed form: 0.013 eV per atom
space-group type: P4/mmm, No. 123

---

Material: Ca2CdIn
Method: DFT, GGA-PBEsol
State: optimized geometry

Lattice parameters (Å, degrees): 5.969 5.969 5.969 133.80 133.80 67.40
Atoms (fractional coordinates):
Ca: 0.000 0.000 0.000
Ca: 0.750 0.250 0.500
Cd: 0.500 0.500 0.000
In: 0.250 0.750 0.500

Output
offset from the most stable computed form: 0.174 eV per atom
space-group type: I-4m2, No. 119

---

Material: CaCd2In
Method: DFT, GGA-PBEsol
State: optimized geometry

Lattice parameters (Å, degrees): 3.358 4.985 5.888 90.00 90.07 90.00
Atoms (fractional coordinates):
Ca: 0.000 0.000 0.000
Cd: 0.499 0.500 0.757
Cd: 0.501 0.500 0.243
In: 0.500 0.000 0.500

Output
space-group type: P2/m, No. 10

---

Number 1: uncorrected energy -10.18 eV per cell. Number 2: uncorrected energy -7.62 eV per cell. Number 3: uncorrected energy -8.64 eV per cell. Number 4: uncorrected energy -8.64 eV per cell. Number 5: uncorrected energy -10.24 eV per cell. Number 6: uncorrected energy -10.20 eV per cell. Number 7: uncorrected energy -9.56 eV per cell. Number 8: uncorrected energy -8.52 eV per cell.